No. 1
Compound: LiZrSb3
Source: Alexandria via LeMat-Bulk
Functional: PBE
Structure: relaxed

Structure (POSCAR):
```
LiZrSb3
1.0
4.959 0.000 0.000
0.000 4.959 0.000
0.000 0.000 4.959
Sb Zr Li
3 1 1
Cartesian
0.000 2.480 0.000 Sb
0.000 0.000 2.480 Sb
2.480 0.000 0.000 Sb
2.480 2.480 2.480 Zr
0.000 0.000 0.000 Li
```

Formation energy from raw total energies = 335.1 meV/atom
Energy = -4.23 eV per atom
Polymorph energy (0 for the lowest one) = 277.9 meV/atom
Spin magnetization = 0.002 μB per cell
SG = Pm-3m (221)

No. 2
Compound: Li2Zr5Sb5
Source: Alexandria via LeMat-Bulk
Functional: PBE
Structure: relaxed

Structure (POSCAR):
```
Li2Zr5Sb5
1.0
5.542 0.000 2.817
2.771 6.862 1.409
-0.339 0.000 7.526
Li Zr Sb
2 5 5
Cartesian
2.613 3.431 5.177 Li
5.384 3.431 6.586 Li
1.901 2.886 0.966 Zr
4.672 3.976 2.375 Zr
0.593 0.000 3.539 Zr
2.870 0.000 5.919 Zr
4.897 0.000 2.490 Zr
1.893 4.893 3.171 Sb
0.567 1.968 5.778 Sb
4.664 1.968 4.579 Sb
2.344 0.000 1.191 Sb
3.338 4.893 7.187 Sb
```

Formation energy from raw total energies = -361.0 meV/atom
Energy = -5.96 eV per atom
Spin magnetization = 0.000 μB per cell
SG = I4mm (107)

No. 3
Compound: LiZr2Sb
Source: Alexandria via LeMat-Bulk
Functional: PBE
Structure: relaxed

Structure (POSCAR):
```
LiZr2Sb
1.0
-2.277 0.803 4.864
-2.142 -4.546 2.057
4.843 1.236 -2.122
Li Sb Zr
1 1 2
Cartesian
0.245 -2.591 1.697 Li
0.178 0.084 3.101 Sb
0.000 0.000 0.000 Zr
-2.210 -1.871 3.460 Zr
```

Formation energy from raw total energies = -362.0 meV/atom
Energy = -6.15 eV per atom
Spin magnetization = 0.000 μB per cell
SG = I4/mmm (139)

No. 4
Compound: LiZrSb2
Source: Alexandria via LeMat-Bulk
Functional: PBE
Structure: relaxed

Structure (POSCAR):
```
LiZrSb2
1.0
7.619 0.000 0.000
0.000 7.619 0.000
3.810 3.810 3.255
Sb Zr Li
4 2 2
Cartesian
5.577 1.905 0.814 Sb
2.043 5.715 0.814 Sb
5.715 5.852 2.441 Sb
9.524 9.386 2.441 Sb
0.000 0.000 0.000 Zr
7.619 3.810 1.628 Zr
3.810 3.810 0.000 Li
3.810 7.619 1.628 Li
```

Formation energy from raw total energies = -259.6 meV/atom
Energy = -4.94 eV per atom
Polymorph energy (0 for the lowest one) = 220.3 meV/atom
Spin magnetization = 0.000 μB per cell
SG = I-42d (122)

No. 5
Compound: LiZrSb2
Source: Alexandria via LeMat-Bulk
Functional: PBE
Structure: relaxed

Structure (POSCAR):
```
LiZrSb2
1.0
-0.390 -3.136 -2.454
0.745 -2.481 3.052
-5.685 -0.231 1.200
Li Sb Zr
1 2 1
Cartesian
-4.329 -2.991 1.250 Li
-5.351 -0.217 1.129 Sb
-1.570 -2.879 0.668 Sb
-2.607 -0.106 0.550 Zr
```

Formation energy from raw total energies = -435.0 meV/atom
Energy = -5.11 eV per atom
Polymorph energy (0 for the lowest one) = 44.9 meV/atom
Spin magnetization = 0.000 μB per cell
SG = P4mm (99)

No. 6
Compound: LiZrSb2
Source: Alexandria via LeMat-Bulk
Functional: PBE
Structure: relaxed

Structure (POSCAR):
```
LiZrSb2
1.0
-2.177 1.391 2.049
-0.779 -2.974 1.191
6.047 0.776 5.897
Li Sb Zr
1 2 1
Cartesian
3.057 -0.210 6.042 Li
0.011 0.001 0.011 Sb
3.012 0.386 2.937 Sb
0.034 -0.598 3.094 Zr
```

Formation energy from raw total energies = -429.0 meV/atom
Energy = -5.11 eV per atom
Polymorph energy (0 for the lowest one) = 50.9 meV/atom
Spin magnetization = 0.000 μB per cell
SG = P4/mmm (123)

No. 7
Compound: LiZr2Sb
Source: Alexandria via LeMat-Bulk
Functional: PBE
Structure: relaxed

Structure (POSCAR):
```
LiZr2Sb
1.0
-2.296 1.290 1.723
1.233 -1.277 2.599
5.215 7.599 1.261
Li Sb Zr
1 1 2
Cartesian
2.698 3.932 0.652 Li
3.368 5.690 3.104 Sb
5.197 7.573 1.256 Zr
0.709 1.815 2.461 Zr
```

Formation energy from raw total energies = -140.3 meV/atom
Energy = -5.92 eV per atom
Spin magnetization = 0.000 μB per cell
SG = P4mm (99)

No. 8
Compound: LiZr2Sb
Source: Alexandria via LeMat-Bulk
Functional: PBE
Structure: relaxed

Structure (POSCAR):
```
LiZr2Sb
1.0
3.724 0.000 0.000
0.000 3.724 0.000
0.000 0.000 6.040
Li Sb Zr
1 1 2
Cartesian
1.862 1.862 1.510 Li
1.862 1.862 4.530 Sb
0.000 0.000 0.013 Zr
0.000 0.000 3.007 Zr
```

Formation energy from raw total energies = -283.8 meV/atom
Energy = -6.07 eV per atom
Spin magnetization = 0.000 μB per cell
SG = P4/mmm (123)

No. 9
Compound: LiZr2Sb
Source: Alexandria via LeMat-Bulk
Functional: PBE
Structure: relaxed

Structure (POSCAR):
```
LiZr2Sb
1.0
-2.888 -0.446 -1.220
1.168 -2.911 0.434
-3.670 -0.168 8.750
Li Sb Zr
1 1 2
Cartesian
-1.910 -0.087 4.555 Li
-3.615 -1.805 6.176 Sb
-3.635 -0.166 8.667 Zr
-1.734 -1.719 1.689 Zr
```

Formation energy from raw total energies = -149.8 meV/atom
Energy = -5.93 eV per atom
Spin magnetization = 0.000 μB per cell
SG = Cmm2 (35)

No. 10
Compound: LiZrSb2
Source: Alexandria via LeMat-Bulk
Functional: PBE
Structure: relaxed

Structure (POSCAR):
```
LiZrSb2
1.0
3.898 0.000 0.000
0.000 3.159 -0.034
0.000 2.316 7.637
Li Sb Zr
1 2 1
Cartesian
1.949 4.106 5.702 Li
0.000 2.993 0.040 Sb
0.000 2.904 3.728 Sb
1.949 1.369 1.901 Zr
```

Formation energy from raw total energies = -462.7 meV/atom
Energy = -5.14 eV per atom
Polymorph energy (0 for the lowest one) = 17.2 meV/atom
Spin magnetization = 0.000 μB per cell
SG = P2/m (10)

No. 11
Compound: LiZr2Sb
Source: Alexandria via LeMat-Bulk
Functional: PBE
Structure: relaxed

Structure (POSCAR):
```
LiZr2Sb
1.0
7.838 0.000 0.000
0.000 7.838 0.000
3.919 3.919 2.839
Sb Zr Li
2 4 2
Cartesian
0.000 0.000 0.000 Sb
7.838 3.919 1.419 Sb
5.850 1.959 0.710 Zr
1.987 5.878 0.710 Zr
5.878 5.906 2.129 Zr
9.797 9.769 2.129 Zr
3.919 3.919 0.000 Li
3.919 7.838 1.419 Li
```

Formation energy from raw total energies = -2.7 meV/atom
Energy = -5.79 eV per atom
Spin magnetization = 0.000 μB per cell
SG = I-42d (122)

No. 12
Compound: LiZr2Sb
Source: Alexandria via LeMat-Bulk
Functional: PBE
Structure: relaxed

Structure (POSCAR):
```
LiZr2Sb
1.0
4.262 0.000 0.000
0.000 4.257 0.000
0.000 0.000 4.537
Li Sb Zr
1 1 2
Cartesian
2.131 0.000 2.269 Li
0.000 2.128 2.269 Sb
0.000 0.000 0.000 Zr
2.131 2.128 0.000 Zr
```

Formation energy from raw total energies = -346.9 meV/atom
Energy = -6.13 eV per atom
Spin magnetization = 0.000 μB per cell
SG = P4/mmm (123)